No. 1
A geometry-optimized Sr6BiSb2As structure. Source: Alexandria via LeMat-Bulk, functional PBE-GGA.

Structure (POSCAR):
```
Sr6BiSb2As
1.0
-5.061 5.627 -2.886
1.143 -3.093 -8.036
-9.033 -7.074 1.438
Sr Bi Sb As
12 2 4 2
Direct
0.308 0.677 0.064
0.808 0.823 0.564
0.692 0.323 0.936
0.192 0.177 0.436
0.323 0.700 0.419
0.823 0.800 0.919
0.677 0.300 0.581
0.177 0.200 0.081
0.851 0.576 0.241
0.351 0.924 0.741
0.149 0.424 0.759
0.649 0.076 0.259
0.500 0.000 0.000
0.000 0.500 0.500
0.027 0.921 0.257
0.527 0.579 0.757
0.973 0.079 0.743
0.473 0.421 0.243
0.500 0.000 0.500
0.000 0.500 0.000
```

Summary:
The uncorrected formation energy is -0.973 eV/atom. Its total magnetization is 0.0 μB/f.u.



No. 2
A geometry-optimized LiYAgRh structure. Source: Alexandria via LeMat-Bulk, functional PBE-GGA.

Structure (POSCAR):
```
LiYAgRh
1.0
4.740 0.000 0.000
2.370 4.105 0.000
2.370 1.368 3.870
Y Rh Ag Li
1 1 1 1
Direct
0.750 0.750 0.750
0.500 0.500 0.500
0.000 0.000 0.000
0.250 0.250 0.250
```

Summary:
For the density of states at the Fermi level, the calculation gives 0.3 states/eV/f.u. Its total magnetization is 0.0 μB/f.u. The formation energy is -344 meV/atom.



No. 3
A geometry-optimized AlCdW structure. Source: Alexandria via LeMat-Bulk, functional PBE-GGA.

Structure (POSCAR):
```
AlCdW
1.0
-0.727 0.052 2.809
1.293 -2.344 -1.122
6.445 2.780 1.618
Al W Cd
1 1 1
Direct
0.000 0.000 0.985
0.333 0.667 0.683
0.667 0.333 0.333
```

Summary:
For the density of states at the Fermi level, the calculation gives 2.1 states/eV/f.u. Its total magnetization is 0.0 μB/f.u. The value obtained for the offset from the most stable computed form is 0.00 eV/f.u. The formation energy is 311 meV/atom.



No. 4
A geometry-optimized Ga2SnBiRh structure. Source: Alexandria via LeMat-Bulk, functional PBE-GGA.

Structure (POSCAR):
```
Ga2SnBiRh
1.0
-1.387 -5.216 0.183
4.020 -1.170 -2.881
2.999 -0.641 4.445
Rh Bi Ga Sn
1 1 2 1
Direct
0.000 0.500 0.000
0.000 0.000 0.000
0.000 0.000 0.500
0.500 0.000 0.000
0.500 0.500 0.500
```

Summary:
For the density of states at the Fermi level, the calculation gives 2.3 states/eV/f.u. Its total magnetization is 0.0 μB/f.u. The formation energy is 767 meV/atom.



No. 5
A geometry-optimized HoU2Ru2 structure. Source: Alexandria via LeMat-Bulk, functional PBE-GGA.

Structure (POSCAR):
```
HoU2Ru2
1.0
4.531 0.000 1.369
1.096 6.463 4.557
-0.562 4.980 10.046
Ho U Ru
2 4 4
Direct
0.212 0.750 0.250
0.788 0.250 0.750
0.334 0.939 0.650
0.923 0.561 0.850
0.666 0.061 0.350
0.077 0.439 0.150
0.426 0.852 0.916
0.807 0.352 0.416
0.574 0.148 0.084
0.193 0.648 0.584
```

Summary:
For the density of states at the Fermi level, the calculation gives 6.9 states/eV/f.u. Its total magnetization is 0.0 μB/f.u. The formation energy is -211 meV/atom.



No. 6
A geometry-optimized BiSbPd structure. Source: Alexandria via LeMat-Bulk, functional PBE-GGA.

Structure (POSCAR):
```
BiSbPd
1.0
-0.984 3.325 -3.281
-3.700 -2.601 -1.526
-4.021 3.143 4.391
Bi Sb Pd
2 2 2
Direct
0.000 0.000 0.500
0.500 0.500 0.500
0.000 0.000 0.000
0.500 0.500 0.000
0.000 0.500 0.775
0.500 0.000 0.225
```

Summary:
For the density of states at the Fermi level, the calculation gives 1.5 states/eV/f.u. The uncorrected formation energy is -0.275 eV/atom. Its total magnetization is 0.0 μB/f.u. The value obtained for the offset from the most stable computed form is 0.03 eV/f.u.